--- i ---
NbMo6W2 | PBE | optimized geometry

a b c (Å): 4.532 5.536 6.616
angles (deg): 96.69 110.01 90.11
Positions (direct):
Nb1 0.000 0.000 0.000
Mo1 0.295 0.333 0.591
Mo2 0.299 0.850 0.598
Mo3 0.497 0.741 0.994
Mo4 0.503 0.259 0.006
Mo5 0.701 0.150 0.402
Mo6 0.705 0.667 0.409
W1 0.104 0.478 0.208
W2 0.896 0.522 0.792

## Properties
D(E_F) = 7.0 states/eV per cell
space-group type = P-1, No. 2
total moment = 0.00 μB per formula unit

=====

--- ii ---
NbMo6W2 | PBE | optimized geometry

a b c (Å): 5.202 5.202 6.942
angles (deg): 111.48 111.48 63.60
Positions (direct):
Nb1 0.000 0.000 0.000
Mo1 0.198 0.668 0.289
Mo2 0.226 0.226 0.449
Mo3 0.332 0.802 0.711
Mo4 0.668 0.198 0.289
Mo5 0.774 0.774 0.551
Mo6 0.802 0.332 0.711
W1 0.333 0.333 0.873
W2 0.667 0.667 0.127

## Properties
D(E_F) = 8.7 states/eV per cell
space-group type = C2/m, No. 12
total moment = 0.00 μB per formula unit

=====

Which structure is the most stable? The one labeled i.

=====

--- i ---
Nb2Mo6W | PBE | optimized geometry

a b c (Å): 6.978 6.978 5.308
angles (deg): 110.16 110.16 37.64
Positions (direct):
Nb1 0.112 0.112 0.058
Nb2 0.888 0.888 0.942
Mo1 0.222 0.222 0.615
Mo2 0.334 0.334 0.171
Mo3 0.445 0.445 0.720
Mo4 0.555 0.555 0.280
Mo5 0.666 0.666 0.829
Mo6 0.778 0.778 0.385
W1 0.000 0.000 0.500

## Properties
D(E_F) = 4.3 states/eV per cell
space-group type = C2/m, No. 12
total moment = 0.00 μB per formula unit

=====

--- ii ---
Nb2Mo6W | PBE | optimized geometry

a b c (Å): 7.970 7.970 2.671
angles (deg): 97.02 97.02 64.12
Positions (direct):
Nb1 0.166 0.166 0.331
Nb2 0.834 0.834 0.669
Mo1 0.165 0.504 0.171
Mo2 0.174 0.826 0.500
Mo3 0.496 0.835 0.829
Mo4 0.504 0.165 0.171
Mo5 0.826 0.174 0.500
Mo6 0.835 0.496 0.829
W1 0.500 0.500 0.000

## Properties
D(E_F) = 6.5 states/eV per cell
space-group type = C2/m, No. 12
total moment = 0.00 μB per formula unit

=====

Which structure is the most stable? The one labeled i.

=====

--- i ---
Y2NbMo | PBE | optimized geometry

a b c (Å): 5.082 5.082 5.082
angles (deg): 60.00 60.00 60.00
Positions (direct):
Y1 0.250 0.250 0.250
Y2 0.750 0.750 0.750
Nb1 0.000 0.000 0.000
Mo1 0.500 0.500 0.500

## Properties
D(E_F) = 7.6 states/eV per cell
space-group type = Fm-3m, No. 225
total moment = 0.96 μB per formula unit

=====

--- ii ---
Y2NbMo | PBE | optimized geometry

a b c (Å): 6.354 6.354 6.354
angles (deg): 102.90 102.90 123.60
Positions (direct):
Y1 0.109 0.625 0.984
Y2 0.375 0.359 0.484
Y3 0.641 0.125 0.016
Y4 0.875 0.891 0.516
Nb1 0.250 0.750 0.500
Nb2 0.500 0.500 0.000
Mo1 0.000 0.000 0.000
Mo2 0.750 0.250 0.500

## Properties
D(E_F) = 17.8 states/eV per cell
space-group type = I-42d, No. 122
total moment = 0.00 μB per formula unit

=====

Which structure is the most stable? The one labeled i.